Here is a relaxed LiHoSe2 crystal from Alexandria. Energies are from PBEsol.

Calculated values
theoretical density = 6.2 Mg/m³
raw formation energy = -1.706 eV/atom

Lattice parameters (Å, degrees): 3.9922 3.9922 19.1205 90.00 90.00 120.00
Sites, in units of the cell vectors:
Li 0.0000 0.0000 0.0000
Li 0.3333 0.6667 0.6667
Li 0.6667 0.3333 0.3333
Ho 0.0000 0.0000 0.5000
Ho 0.3333 0.6667 0.1667
Ho 0.6667 0.3333 0.8333
Se 0.0000 0.0000 0.2515
Se 0.0000 0.0000 0.7485
Se 0.3333 0.6667 0.4152
Se 0.3333 0.6667 0.9181
Se 0.6667 0.3333 0.0819
Se 0.6667 0.3333 0.5848